1.
DFT (GGA-PBE) results for a geometry-optimized ZrCrTcGe2 structure.

Lattice parameters (Å, degrees): 4.9980 4.4029 4.9980 90.00 90.00 90.00
With the nearest neighbours (Å) after each atom.
Fractional positions:
1 Zr 0.0000 0.0000 0.0000  2 Cr 2.20
2 Cr 0.0000 0.5000 0.0000  2 Zr 2.20
3 Ge 0.0000 0.0000 0.5000  2 Zr 2.50
4 Ge 0.5000 0.0000 0.0000  2 Zr 2.50
5 Tc 0.5000 0.5000 0.5000  8 Ge 3.33, 4 Cr 3.53

Summary:
formation energy = 1.79 eV/atom
Fermi-level density of states = 11.60 states/eV/f.u.

=====

2.
DFT (GGA-PBE) results for a geometry-optimized Mg2BiF structure.

Lattice parameters (Å, degrees): 4.6191 4.6191 6.8294 70.23 70.23 60.00
With the nearest neighbours (Å) after each atom.
Fractional positions:
1 F 0.0000 0.0000 0.0000  2 Mg 1.89
2 Mg 0.8999 0.8999 0.3004  1 F 1.89
3 Mg 0.1001 0.1001 0.6996  1 F 1.89
4 Bi 0.5000 0.5000 0.5000  6 Mg 2.95

Summary:
energy relative to the elements, uncorrected = -1.35 eV per atom
energy above the most stable polymorph in this dataset = 0.000 eV per atom

=====

3.
DFT (GGA-PBE) results for a geometry-optimized Ga2Ni8Sb structure.

Lattice parameters (Å, degrees): 3.7193 5.7823 6.7641 105.97 105.96 90.00
With the nearest neighbours (Å) after each atom.
Fractional positions:
1 Ni 0.9591 0.2798 0.9182  1 Ga 2.44, 8 Ni 2.46-2.63, 2 Sb 2.62
2 Ni 0.3187 0.0821 0.6374  3 Ga 2.44-2.53, 8 Ni 2.52-2.63, 1 Sb 2.54
3 Ni 0.4068 0.5333 0.8137  3 Ga 2.51-2.74, 8 Ni 2.53-2.62, 1 Sb 2.62
4 Ni 0.6813 0.9179 0.3626  3 Ga 2.44-2.53, 8 Ni 2.52-2.63, 1 Sb 2.54
5 Ni 0.0409 0.7202 0.0818  1 Ga 2.44, 8 Ni 2.46-2.63, 2 Sb 2.62
6 Ni 0.5932 0.4667 0.1863  3 Ga 2.51-2.74, 8 Ni 2.53-2.62, 1 Sb 2.62
7 Ni 0.8521 0.7943 0.7042  3 Ga 2.50-2.52, 7 Ni 2.52-2.75, 2 Sb 2.70
8 Ni 0.1479 0.2057 0.2958  3 Ga 2.50-2.52, 7 Ni 2.52-2.75, 2 Sb 2.70
9 Ga 0.2183 0.6555 0.4367  9 Ni 2.44-2.53
10 Ga 0.7817 0.3445 0.5633  9 Ni 2.44-2.53
11 Sb 0.5000 0.0000 0.0000  12 Ni 2.54-2.70

Summary:
energy relative to the elements, uncorrected = -0.22 eV per atom
Fermi-level density of states = 9.74 states/eV/f.u.

=====

4.
DFT (GGA-PBE) results for a geometry-optimized Na2USb2S6 structure.

Lattice parameters (Å, degrees): 6.9463 6.9463 7.1537 99.78 99.78 119.50
With the nearest neighbours (Å) after each atom.
Fractional positions:
1 S 0.9298 0.5952 0.2799  2 Sb 2.70-2.79, 1 U 2.74, 2 Na 2.96-3.00
2 S 0.2386 0.2386 0.2790  1 U 2.66, 2 Sb 2.84, 2 Na 2.94
3 S 0.7614 0.7614 0.7210  1 U 2.66, 2 Sb 2.84, 2 Na 2.94
4 S 0.0702 0.4048 0.7201  2 Sb 2.70-2.79, 1 U 2.74, 2 Na 2.96-3.00
5 S 0.5952 0.9298 0.2799  2 Sb 2.70-2.79, 1 U 2.74, 2 Na 2.96-3.00
6 S 0.4048 0.0702 0.7201  2 Sb 2.70-2.79, 1 U 2.74, 2 Na 2.96-3.00
7 Na 0.1692 0.8308 0.0000  6 S 2.94-3.00
8 Na 0.8308 0.1692 0.0000  6 S 2.94-3.00
9 Sb 0.3299 0.6701 0.5000  6 S 2.70-2.84
10 Sb 0.6701 0.3299 0.5000  6 S 2.70-2.84
11 U 0.0000 0.0000 0.5000  6 S 2.66-2.74

Summary:
energy relative to the elements, uncorrected = -0.85 eV per atom
Fermi-level density of states = 5.33 states/eV/f.u.

=====

Number 1: uncorrected energy -5.767 eV per atom. Number 2: uncorrected energy -3.583 eV per atom. Number 3: uncorrected energy -5.346 eV per atom. Number 4: uncorrected energy -5.113 eV per atom.